Below is an optimized crystal structure of TaTlCd3, with properties calculated at the PBE level.

The structure in POSCAR format:
```
TaTlCd3
1.0
5.513 0.000 0.000
0.000 5.513 0.000
0.000 0.000 5.513
Tl Cd Ta
1 3 1
Direct
0.500 0.500 0.500
0.000 0.500 0.000
0.500 0.000 0.000
0.000 0.000 0.500
0.000 0.000 0.000
```

Total magnetic moment (μB/cell): 2.3
Calculated volume (Å³ per atom): 33.5
ΔH_f (0 K) (meV/atom): 941.8
E_tot (eV per atom): -2.45
Polymorph energy (0 for the lowest one) (eV/atom): 0.000

---

Below is an optimized crystal structure of TaTlCd2, with properties calculated at the PBE level.

The structure in POSCAR format:
```
TaTlCd2
1.0
-1.961 1.563 -1.680
-0.392 -2.405 -1.781
-7.207 -2.991 5.628
Tl Cd Ta
1 2 1
Direct
0.500 0.500 0.734
0.500 0.500 0.263
0.000 0.000 0.013
0.000 0.000 0.489
```

Total magnetic moment (μB/cell): 0.0
Calculated volume (Å³ per atom): 21.9
ΔH_f (0 K) (meV/atom): 375.5
E_tot (eV per atom): -3.64
Polymorph energy (0 for the lowest one) (eV/atom): 0.101

---

> Number 1 is which compound?

TaTlCd3

---

Repeat the first record exactly.
Below is an optimized crystal structure of TaTlCd3, with properties calculated at the PBE level.

The structure in POSCAR format:
```
TaTlCd3
1.0
5.513 0.000 0.000
0.000 5.513 0.000
0.000 0.000 5.513
Tl Cd Ta
1 3 1
Direct
0.500 0.500 0.500
0.000 0.500 0.000
0.500 0.000 0.000
0.000 0.000 0.500
0.000 0.000 0.000
```

Total magnetic moment (μB/cell): 2.3
Calculated volume (Å³ per atom): 33.5
ΔH_f (0 K) (meV/atom): 941.8
E_tot (eV per atom): -2.45
Polymorph energy (0 for the lowest one) (eV/atom): 0.000